No. 1
Computed, not measured: a geometry-optimized KTlS structure at the PBE level of DFT.

Lattice parameters (Å, degrees): 10.2642 4.2469 9.3809 90.00 90.00 90.00
With the nearest neighbours (Å) after each atom.
Space group Pnma (No. 62)
Unique sites:
K1 0.1760 0.2500 0.0414 x4  4 S 3.14-3.33
Tl1 0.0069 0.7500 0.3406 x4  2 S 2.81
S1 0.1157 0.7500 0.8031 x4  2 Tl 2.81, 2 K 3.14

Calculated values
Uncorrected formation energy ... -0.687 eV/atom
Electronic total energy ... -3.2175 eV per atom
Mass density ... 4.5 g cm⁻³
Volume ... 34.08 A^3/atom

No. 2
Computed, not measured: a geometry-optimized MgHIr2 structure at the PBE level of DFT.

Lattice parameters (Å, degrees): 4.7126 4.6228 5.4345 90.00 104.99 90.00
With the nearest neighbours (Å) after each atom.
Space group P2_1 (No. 4)
Unique sites:
Mg1 0.0024 0.0000 0.2477 x2  1 H 2.30
H1 0.2759 0.5815 0.3298 x2  3 Ir 1.79-1.95
Ir1 0.4605 0.7388 0.1064 x2  1 H 1.82
Ir2 0.4639 0.7461 0.6262 x2  2 H 1.79-1.95

Calculated values
Electronic total energy ... -5.7617 eV per atom
Mass density ... 11.9 g cm⁻³
Volume ... 14.30 A^3/atom

No. 3
Computed, not measured: a geometry-optimized Zr2TaMo structure at the PBE level of DFT.

Lattice parameters (Å, degrees): 3.3021 3.3021 7.2792 90.00 90.00 90.00
With the nearest neighbours (Å) after each atom.
Space group P4mm (No. 99)
Unique sites:
Zr1 0.0000 0.0000 0.0000 x1  4 Ta 3.04, 8 Zr 3.17-3.30, 1 Mo 3.40
Zr2 0.5000 0.5000 0.2948 x1  4 Mo 2.91, 4 Zr 3.17, 1 Ta 3.19
Ta1 0.5000 0.5000 0.7327 x1  4 Mo 2.75, 4 Zr 3.04
Mo1 0.0000 0.0000 0.5331 x1  4 Ta 2.75, 4 Zr 2.91

Calculated values
Electronic total energy ... -9.9607 eV per atom
Mass density ... 9.6 g cm⁻³
ΔH_f (0 K) ... -0.0157 eV/atom
Volume ... 19.84 A^3/atom

Number 1: total magnetic moment 0.000 μB/atom. Number 2: total magnetic moment 0.000 μB/atom. Number 3: total magnetic moment 0.000 μB/atom.